Entry 1:
Here is a relaxed structure of NbO2 from Alexandria. Energies are from PBE.

Cell: 4.0707 4.0707 8.9063 Å, 90.00 90.00 90.00°
Positions (direct):
1 Nb 0.0000 0.2500 0.3750
2 Nb 0.0000 0.7500 0.6250
3 Nb 0.5000 0.2500 0.1250
4 Nb 0.5000 0.7500 0.8750
5 O 0.0000 0.2500 0.1306
6 O 0.0000 0.2500 0.6194
7 O 0.0000 0.7500 0.3806
8 O 0.0000 0.7500 0.8694
9 O 0.5000 0.2500 0.3694
10 O 0.5000 0.2500 0.8806
11 O 0.5000 0.7500 0.1194
12 O 0.5000 0.7500 0.6306

* crystal system: tetragonal
* raw total energy: -108.8 eV for the cell shown
* density: 5622 kg/m³
* M_tot: 0.000 μB/f.u.

=====

Entry 2:
Here is a relaxed structure of Nb3O from Alexandria. Energies are from PBE.

Cell: 2.8409 2.8520 7.7002 Å, 90.00 90.00 90.00°
Positions (direct):
1 Nb 0.0000 0.0000 0.0000
2 Nb 0.0000 0.5000 0.3313
3 Nb 0.5000 0.5000 0.6971
4 O 0.5000 0.0000 0.4590

* crystal system: orthorhombic
* raw total energy: -37.5 eV for the cell shown
* density: 7844 kg/m³
* M_tot: 0.000 μB/f.u.

=====

Entry 3:
Here is a relaxed structure of Nb12O29 from Alexandria. Energies are from PBE.

Cell: 10.7551 10.7551 29.4999 Å, 90.00 90.00 159.31°
Positions (direct):
1 Nb 0.0350 0.9650 0.6850
2 Nb 0.0350 0.9650 0.8150
3 Nb 0.0365 0.9635 0.5507
4 Nb 0.0365 0.9635 0.9493
5 Nb 0.1479 0.8521 0.0483
6 Nb 0.1479 0.8521 0.1848
7 Nb 0.1479 0.8521 0.3152
8 Nb 0.1479 0.8521 0.4517
9 Nb 0.3307 0.6693 0.0504
10 Nb 0.3311 0.6689 0.1845
11 Nb 0.3311 0.6689 0.3155
12 Nb 0.3307 0.6693 0.4496
13 Nb 0.6693 0.3307 0.5504
14 Nb 0.6689 0.3311 0.6845
15 Nb 0.6689 0.3311 0.8155
16 Nb 0.6693 0.3307 0.9496
17 Nb 0.8521 0.1479 0.5483
18 Nb 0.8521 0.1479 0.6848
19 Nb 0.8521 0.1479 0.8152
20 Nb 0.8521 0.1479 0.9517
21 Nb 0.9635 0.0365 0.0507
22 Nb 0.9635 0.0365 0.4493
23 Nb 0.9650 0.0350 0.1850
24 Nb 0.9650 0.0350 0.3150
25 O 0.0322 0.9678 0.6117
26 O 0.0322 0.9678 0.8883
27 O 0.0419 0.9581 0.7500
28 O 0.0493 0.9507 0.0311
29 O 0.0493 0.9507 0.4689
30 O 0.0522 0.9478 0.1843
31 O 0.0522 0.9478 0.3157
32 O 0.1414 0.8586 0.1085
33 O 0.1414 0.8586 0.3915
34 O 0.1434 0.8566 0.6798
35 O 0.1434 0.8566 0.8202
36 O 0.1443 0.8557 0.5367
37 O 0.1443 0.8557 0.9633
38 O 0.1507 0.8493 0.2500
39 O 0.2433 0.7567 0.0423
40 O 0.2433 0.7567 0.4577
41 O 0.2442 0.7558 0.1803
42 O 0.2442 0.7558 0.3197
43 O 0.3343 0.6657 0.2500
44 O 0.3356 0.6644 0.1116
45 O 0.3356 0.6644 0.3884
46 O 0.3494 0.6506 0.5285
47 O 0.3494 0.6506 0.9715
48 O 0.3515 0.6485 0.6756
49 O 0.3515 0.6485 0.8244
50 O 0.4386 0.5614 0.0437
51 O 0.4386 0.5614 0.4563
52 O 0.4397 0.5603 0.1802
53 O 0.4397 0.5603 0.3198
54 O 0.5603 0.4397 0.6802
55 O 0.5603 0.4397 0.8198
56 O 0.5614 0.4386 0.5437
57 O 0.5614 0.4386 0.9563
58 O 0.6485 0.3515 0.1756
59 O 0.6485 0.3515 0.3244
60 O 0.6506 0.3494 0.0285
61 O 0.6506 0.3494 0.4715
62 O 0.6644 0.3356 0.6116
63 O 0.6644 0.3356 0.8884
64 O 0.6657 0.3343 0.7500
65 O 0.7558 0.2442 0.6803
66 O 0.7558 0.2442 0.8197
67 O 0.7567 0.2433 0.5423
68 O 0.7567 0.2433 0.9577
69 O 0.8493 0.1507 0.7500
70 O 0.8557 0.1443 0.0367
71 O 0.8557 0.1443 0.4633
72 O 0.8566 0.1434 0.1798
73 O 0.8566 0.1434 0.3202
74 O 0.8586 0.1414 0.6085
75 O 0.8586 0.1414 0.8915
76 O 0.9478 0.0522 0.6843
77 O 0.9478 0.0522 0.8157
78 O 0.9507 0.0493 0.5311
79 O 0.9507 0.0493 0.9689
80 O 0.9581 0.0419 0.2500
81 O 0.9678 0.0322 0.1117
82 O 0.9678 0.0322 0.3883

* crystal system: orthorhombic
* raw total energy: -738.2 eV for the cell shown
* density: 4350 kg/m³
* M_tot: 0.569 μB/f.u.

=====

Entry 4:
Here is a relaxed structure of NbO2 from Alexandria. Energies are from PBE.

Cell: 5.0518 5.3568 9.9441 Å, 90.00 90.00 90.00°
Positions (direct):
1 Nb 0.0534 0.1459 0.1431
2 Nb 0.0534 0.3541 0.6431
3 Nb 0.4466 0.6459 0.1431
4 Nb 0.4466 0.8541 0.6431
5 Nb 0.5534 0.1459 0.3569
6 Nb 0.5534 0.3541 0.8569
7 Nb 0.9466 0.6459 0.3569
8 Nb 0.9466 0.8541 0.8569
9 O 0.1773 0.6552 0.5314
10 O 0.1773 0.8448 0.0314
11 O 0.2427 0.6000 0.7862
12 O 0.2427 0.9000 0.2862
13 O 0.2573 0.1000 0.7862
14 O 0.2573 0.4000 0.2862
15 O 0.3227 0.1552 0.5314
16 O 0.3227 0.3448 0.0314
17 O 0.6773 0.6552 0.9686
18 O 0.6773 0.8448 0.4686
19 O 0.7427 0.6000 0.7138
20 O 0.7427 0.9000 0.2138
21 O 0.7573 0.1000 0.7138
22 O 0.7573 0.4000 0.2138
23 O 0.8227 0.1552 0.9686
24 O 0.8227 0.3448 0.4686

* crystal system: orthorhombic
* raw total energy: -216.8 eV for the cell shown
* density: 6166 kg/m³
* M_tot: 0.001 μB/f.u.